Density functional theory data (PBE) for an optimized crystal structure of LaPr2Tl2.

abc: 7.118 5.259 9.538
angles: 90.00 111.87 90.00
Fractional positions:
1 La 0.084 0.250 0.168
2 La 0.916 0.750 0.832
3 Pr 0.270 0.750 0.540
4 Pr 0.452 0.750 0.905
5 Pr 0.548 0.250 0.095
6 Pr 0.730 0.250 0.460
7 Tl 0.152 0.250 0.749
8 Tl 0.402 0.750 0.250
9 Tl 0.598 0.250 0.750
10 Tl 0.848 0.750 0.251

Calculated formation energy (eV per atom): -0.23
Magnetic moment (μB per formula unit): 0.0
Calculated density (g/cm³): 8.315